(1)
# InSb2Pd4 | the Alexandria database | PBE | optimized geometry
data_InSb2Pd4
_space_group_name_H-M_alt 'P 1'
_space_group_IT_number 1
_cell_length_a 4.563
_cell_length_b 4.578
_cell_length_c 14.706
_cell_angle_alpha 90.00
_cell_angle_beta 90.00
_cell_angle_gamma 119.89
loop_
_space_group_symop_operation_xyz
'x,y,z'
loop_
_atom_site_label
_atom_site_type_symbol
_atom_site_fract_x
_atom_site_fract_y
_atom_site_fract_z
_atom_site_occupancy
Pd1 Pd 0.165 0.330 0.645 1
Pd2 Pd 0.835 0.670 0.355 1
Pd3 Pd 0.500 0.000 0.000 1
Pd4 Pd 0.832 0.663 0.750 1
Pd5 Pd 0.835 0.670 0.145 1
Pd6 Pd 0.500 0.000 0.500 1
Pd7 Pd 0.168 0.337 0.250 1
Pd8 Pd 0.165 0.330 0.855 1
In1 In 0.501 0.002 0.250 1
In2 In 0.499 0.998 0.750 1
Sb1 Sb 0.833 0.666 0.931 1
Sb2 Sb 0.167 0.334 0.069 1
Sb3 Sb 0.167 0.334 0.431 1
Sb4 Sb 0.833 0.666 0.569 1
# Formation energy from raw total energies: -0.341 eV/atom
# SG: Cmcm (63)
# Final energy: -4.8777 eV per atom

***

(2)
# InSb2Pd2 | the Alexandria database | PBE | optimized geometry
data_InSb2Pd2
_space_group_name_H-M_alt 'P 1'
_space_group_IT_number 1
_cell_length_a 4.784
_cell_length_b 4.784
_cell_length_c 6.290
_cell_angle_alpha 67.65
_cell_angle_beta 67.65
_cell_angle_gamma 90.00
loop_
_space_group_symop_operation_xyz
'x,y,z'
loop_
_atom_site_label
_atom_site_type_symbol
_atom_site_fract_x
_atom_site_fract_y
_atom_site_fract_z
_atom_site_occupancy
Sb1 Sb 0.250 0.750 0.500 1
Sb2 Sb 0.750 0.250 0.500 1
Pd1 Pd 0.371 0.371 0.258 1
Pd2 Pd 0.629 0.629 0.742 1
In1 In 0.000 0.000 0.000 1
# Formation energy from raw total energies: -0.125 eV/atom
# SG: I4/mmm (139)
# Energy relative to the lowest polymorph listed for this composition: 84.7 meV per atom
# Final energy: -4.3988 eV per atom

***

(3)
# In2SbPd | the Alexandria database | PBE | optimized geometry
data_In2SbPd
_space_group_name_H-M_alt 'P 1'
_space_group_IT_number 1
_cell_length_a 4.735
_cell_length_b 4.735
_cell_length_c 9.719
_cell_angle_alpha 75.90
_cell_angle_beta 75.90
_cell_angle_gamma 90.00
loop_
_space_group_symop_operation_xyz
'x,y,z'
loop_
_atom_site_label
_atom_site_type_symbol
_atom_site_fract_x
_atom_site_fract_y
_atom_site_fract_z
_atom_site_occupancy
In1 In 0.375 0.435 0.750 1
In2 In 0.185 0.625 0.250 1
In3 In 0.565 0.125 0.250 1
In4 In 0.875 0.815 0.750 1
Pd1 Pd 0.500 0.500 0.000 1
Pd2 Pd 0.250 0.750 0.500 1
Sb1 Sb 0.750 0.250 0.500 1
Sb2 Sb 0.000 0.000 0.000 1
# Formation energy from raw total energies: -0.033 eV/atom
# SG: I-42d (122)
# Final energy: -3.7315 eV per atom

***

(4)
# InSb2Pd2 | the Alexandria database | PBE | optimized geometry
data_InSb2Pd2
_space_group_name_H-M_alt 'P 1'
_space_group_IT_number 1
_cell_length_a 7.853
_cell_length_b 7.853
_cell_length_c 3.469
_cell_angle_alpha 90.00
_cell_angle_beta 90.00
_cell_angle_gamma 90.00
loop_
_space_group_symop_operation_xyz
'x,y,z'
loop_
_atom_site_label
_atom_site_type_symbol
_atom_site_fract_x
_atom_site_fract_y
_atom_site_fract_z
_atom_site_occupancy
Pd1 Pd 0.629 0.129 0.000 1
Pd2 Pd 0.871 0.629 0.000 1
Pd3 Pd 0.129 0.371 0.000 1
Pd4 Pd 0.371 0.871 0.000 1
Sb1 Sb 0.662 0.838 0.500 1
Sb2 Sb 0.838 0.338 0.500 1
Sb3 Sb 0.338 0.162 0.500 1
Sb4 Sb 0.162 0.662 0.500 1
In1 In 0.500 0.500 0.000 1
In2 In 0.000 0.000 0.000 1
# Formation energy from raw total energies: -0.210 eV/atom
# SG: P4/mbm (127)
# Energy relative to the lowest polymorph listed for this composition: 0.0 meV per atom
# Final energy: -4.4836 eV per atom

***

(5)
# In3SbPd | the Alexandria database | PBE | optimized geometry
data_In3SbPd
_space_group_name_H-M_alt 'P 1'
_space_group_IT_number 1
_cell_length_a 5.202
_cell_length_b 5.202
_cell_length_c 5.202
_cell_angle_alpha 90.00
_cell_angle_beta 90.00
_cell_angle_gamma 90.00
loop_
_space_group_symop_operation_xyz
'x,y,z'
loop_
_atom_site_label
_atom_site_type_symbol
_atom_site_fract_x
_atom_site_fract_y
_atom_site_fract_z
_atom_site_occupancy
Pd1 Pd 0.000 0.000 0.000 1
In1 In 0.500 0.000 0.000 1
In2 In 0.000 0.500 0.000 1
In3 In 0.000 0.000 0.500 1
Sb1 Sb 0.500 0.500 0.500 1
# Formation energy from raw total energies: -0.003 eV/atom
# SG: Pm-3m (221)
# Energy relative to the lowest polymorph listed for this composition: 0.0 meV per atom
# Final energy: -3.5088 eV per atom

***

(6)
# In3SbPd12 | the Alexandria database | PBE | optimized geometry
data_In3SbPd12
_space_group_name_H-M_alt 'P 1'
_space_group_IT_number 1
_cell_length_a 4.033
_cell_length_b 4.033
_cell_length_c 16.238
_cell_angle_alpha 90.00
_cell_angle_beta 90.00
_cell_angle_gamma 90.00
loop_
_space_group_symop_operation_xyz
'x,y,z'
loop_
_atom_site_label
_atom_site_type_symbol
_atom_site_fract_x
_atom_site_fract_y
_atom_site_fract_z
_atom_site_occupancy
Pd1 Pd 0.000 0.500 0.876 1
Pd2 Pd 0.500 0.000 0.625 1
Pd3 Pd 0.500 0.500 0.500 1
Pd4 Pd 0.500 0.500 0.000 1
Pd5 Pd 0.000 0.500 0.375 1
Pd6 Pd 0.000 0.500 0.124 1
Pd7 Pd 0.500 0.000 0.876 1
Pd8 Pd 0.500 0.500 0.248 1
Pd9 Pd 0.000 0.500 0.625 1
Pd10 Pd 0.500 0.000 0.375 1
Pd11 Pd 0.500 0.500 0.752 1
Pd12 Pd 0.500 0.000 0.124 1
In1 In 0.000 0.000 0.500 1
In2 In 0.000 0.000 0.748 1
In3 In 0.000 0.000 0.252 1
Sb1 Sb 0.000 0.000 0.000 1
# Formation energy from raw total energies: -0.433 eV/atom
# SG: P4/mmm (123)
# Final energy: -5.0989 eV per atom

***

(7)
# InSbPd6 | the Alexandria database | PBE | optimized geometry
data_InSbPd6
_space_group_name_H-M_alt 'P 1'
_space_group_IT_number 1
_cell_length_a 4.808
_cell_length_b 4.808
_cell_length_c 7.344
_cell_angle_alpha 73.39
_cell_angle_beta 73.39
_cell_angle_gamma 70.39
loop_
_space_group_symop_operation_xyz
'x,y,z'
loop_
_atom_site_label
_atom_site_type_symbol
_atom_site_fract_x
_atom_site_fract_y
_atom_site_fract_z
_atom_site_occupancy
Sb1 Sb 0.000 0.000 0.000 1
Pd1 Pd 0.448 0.930 0.701 1
Pd2 Pd 0.352 0.352 0.939 1
Pd3 Pd 0.648 0.648 0.061 1
Pd4 Pd 0.552 0.070 0.299 1
Pd5 Pd 0.930 0.448 0.701 1
Pd6 Pd 0.070 0.552 0.299 1
In1 In 0.500 0.500 0.500 1
# Formation energy from raw total energies: -0.238 eV/atom
# SG: C2/m (12)
# Energy relative to the lowest polymorph listed for this composition: 172.8 meV per atom
# Final energy: -4.9902 eV per atom

***

(8)
# InSb2Pd3 | the Alexandria database | PBE | optimized geometry
data_InSb2Pd3
_space_group_name_H-M_alt 'P 1'
_space_group_IT_number 1
_cell_length_a 5.753
_cell_length_b 7.116
_cell_length_c 7.116
_cell_angle_alpha 120.97
_cell_angle_beta 90.00
_cell_angle_gamma 90.00
loop_
_space_group_symop_operation_xyz
'x,y,z'
loop_
_atom_site_label
_atom_site_type_symbol
_atom_site_fract_x
_atom_site_fract_y
_atom_site_fract_z
_atom_site_occupancy
Sb1 Sb 0.720 0.492 0.169 1
Sb2 Sb 0.720 0.169 0.492 1
Sb3 Sb 0.220 0.831 0.508 1
Sb4 Sb 0.220 0.508 0.831 1
In1 In 0.719 0.847 0.847 1
In2 In 0.219 0.153 0.153 1
Pd1 Pd 0.970 0.826 0.174 1
Pd2 Pd 0.970 0.500 0.500 1
Pd3 Pd 0.470 0.826 0.174 1
Pd4 Pd 0.470 0.500 0.500 1
Pd5 Pd 0.970 0.174 0.826 1
Pd6 Pd 0.470 0.174 0.826 1
# Formation energy from raw total energies: -0.467 eV/atom
# SG: Cmcm (63)
# Energy relative to the lowest polymorph listed for this composition: 0.0 meV per atom
# Final energy: -4.8943 eV per atom

***

(9)
# In3SbPd7 | the Alexandria database | PBE | optimized geometry
data_In3SbPd7
_space_group_name_H-M_alt 'P 1'
_space_group_IT_number 1
_cell_length_a 5.028
_cell_length_b 7.021
_cell_length_c 7.021
_cell_angle_alpha 91.00
_cell_angle_beta 112.69
_cell_angle_gamma 112.69
loop_
_space_group_symop_operation_xyz
'x,y,z'
loop_
_atom_site_label
_atom_site_type_symbol
_atom_site_fract_x
_atom_site_fract_y
_atom_site_fract_z
_atom_site_occupancy
In1 In 0.000 0.769 0.231 1
In2 In 0.000 0.231 0.769 1
In3 In 0.500 0.000 0.000 1
Pd1 Pd 0.668 0.939 0.402 1
Pd2 Pd 0.332 0.061 0.598 1
Pd3 Pd 0.212 0.180 0.180 1
Pd4 Pd 0.332 0.598 0.061 1
Pd5 Pd 0.668 0.402 0.939 1
Pd6 Pd 0.788 0.820 0.820 1
Pd7 Pd 0.000 0.500 0.500 1
Sb1 Sb 0.500 0.500 0.500 1
# Formation energy from raw total energies: -0.306 eV/atom
# SG: C2/m (12)
# Final energy: -4.7324 eV per atom

***

(10)
# In4SbPd7 | the Alexandria database | PBE | optimized geometry
data_In4SbPd7
_space_group_name_H-M_alt 'P 1'
_space_group_IT_number 1
_cell_length_a 4.971
_cell_length_b 8.983
_cell_length_c 5.940
_cell_angle_alpha 79.45
_cell_angle_beta 65.26
_cell_angle_gamma 73.94
loop_
_space_group_symop_operation_xyz
'x,y,z'
loop_
_atom_site_label
_atom_site_type_symbol
_atom_site_fract_x
_atom_site_fract_y
_atom_site_fract_z
_atom_site_occupancy
Sb1 Sb 0.000 0.000 0.000 1
In1 In 0.592 0.229 0.587 1
In2 In 0.231 0.344 0.194 1
In3 In 0.769 0.656 0.806 1
In4 In 0.408 0.771 0.413 1
Pd1 Pd 0.363 0.519 0.755 1
Pd2 Pd 0.792 0.918 0.499 1
Pd3 Pd 0.930 0.320 0.820 1
Pd4 Pd 0.500 0.000 0.000 1
Pd5 Pd 0.070 0.680 0.180 1
Pd6 Pd 0.208 0.082 0.501 1
Pd7 Pd 0.637 0.481 0.245 1
# Formation energy from raw total energies: -0.350 eV/atom
# SG: C2/m (12)
# Final energy: -4.6351 eV per atom